SmScPO PBE optimized geometry; final energy = -7.409 eV/atom; total moment = 0.00 μB per atom
1.0
4.275 0.000 0.000
0.000 6.817 0.000
0.000 0.000 5.833
Sm Sc P O
2 2 2 2
Direct
0.000 0.203 0.000
0.000 0.797 0.500
0.500 0.384 0.590
0.500 0.616 0.090
0.000 0.205 0.494
0.000 0.795 0.994
0.500 0.345 0.941
0.500 0.655 0.441